Record 1
VASP calculation (PBE) on an optimized crystal structure of HoScGe.

CIF file:
```
data_HoScGe
_chemical_formula_sum 'Ho4 Sc4 Ge4'
_space_group_name_H-M_alt 'F -4 3 m'
_space_group_IT_number 216
_space_group_name_Hall 'F -4 2 3'
_cell_length_a 6.678
_cell_length_b 6.678
_cell_length_c 6.678
_cell_angle_alpha 90.00
_cell_angle_beta 90.00
_cell_angle_gamma 90.00
loop_
_atom_site_label
_atom_site_fract_x
_atom_site_fract_y
_atom_site_fract_z
Ho1 0.000 0.000 0.000
Sc1 0.000 0.000 0.500
Ge1 0.250 0.250 0.750
```

Record 2
VASP calculation (PBE) on an optimized crystal structure of YZr4Br.

CIF file:
```
data_YZr4Br
_chemical_formula_sum 'Y4 Zr16 Br4'
_space_group_name_H-M_alt 'F -4 3 m'
_space_group_IT_number 216
_space_group_name_Hall 'F -4 2 3'
_cell_length_a 8.557
_cell_length_b 8.557
_cell_length_c 8.557
_cell_angle_alpha 90.00
_cell_angle_beta 90.00
_cell_angle_gamma 90.00
loop_
_atom_site_label
_atom_site_fract_x
_atom_site_fract_y
_atom_site_fract_z
Y1 0.000 0.000 0.000
Zr1 0.130 0.130 0.630
Br1 0.250 0.250 0.250
```

Record 3
VASP calculation (PBE) on an optimized crystal structure of Ho2CdIn3.

CIF file:
```
data_Ho2CdIn3
_chemical_formula_sum 'Ho16 Cd8 In24'
_space_group_name_H-M_alt 'F m m m'
_space_group_IT_number 69
_space_group_name_Hall '-F 2 2'
_cell_length_a 7.035
_cell_length_b 9.912
_cell_length_c 17.170
_cell_angle_alpha 90.00
_cell_angle_beta 90.00
_cell_angle_gamma 90.00
loop_
_atom_site_label
_atom_site_fract_x
_atom_site_fract_y
_atom_site_fract_z
Ho1 0.250 0.000 0.000
Ho2 0.250 0.250 0.250
Cd1 0.000 0.000 0.167
In1 0.000 0.000 0.332
In2 0.000 0.248 0.084
```

Record 4
VASP calculation (PBE) on an optimized crystal structure of TbMnMo.

CIF file:
```
data_TbMnMo
_chemical_formula_sum 'Tb18 Mn18 Mo18'
_space_group_name_H-M_alt 'R -3 m'
_space_group_IT_number 166
_space_group_name_Hall '-R 3 2"'
_cell_length_a 5.3931
_cell_length_b 5.3931
_cell_length_c 39.8681
_cell_angle_alpha 90.00
_cell_angle_beta 90.00
_cell_angle_gamma 120.00
loop_
_atom_site_label
_atom_site_fract_x
_atom_site_fract_y
_atom_site_fract_z
Tb1 0.0000 0.0000 0.0391
Tb2 0.0000 0.0000 0.1807
Tb3 0.0000 0.0000 0.2672
Mn1 0.0000 0.0000 0.3825
Mn2 0.0000 0.0000 0.5000
Mn3 0.0000 0.5000 0.0000
Mo1 0.0014 0.5007 0.7752
```

Record 5
VASP calculation (PBE) on an optimized crystal structure of YSiPt2.

CIF file:
```
data_YSiPt2
_chemical_formula_sum 'Y2 Si2 Pt4'
_space_group_name_H-M_alt 'I m m 2'
_space_group_IT_number 44
_space_group_name_Hall 'I 2 -2'
_cell_length_a 3.614
_cell_length_b 4.606
_cell_length_c 8.747
_cell_angle_alpha 90.00
_cell_angle_beta 90.00
_cell_angle_gamma 90.00
loop_
_atom_site_label
_atom_site_fract_x
_atom_site_fract_y
_atom_site_fract_z
Y1 0.000 0.000 0.000
Si1 0.000 0.500 0.240
Pt1 0.000 0.000 0.558
Pt2 0.000 0.500 0.780
```

Record 6
VASP calculation (PBE) on an optimized crystal structure of Tb8YTh6.

CIF file:
```
data_Tb8YTh6
_chemical_formula_sum 'Tb24 Y3 Th18'
_space_group_name_H-M_alt 'R -3'
_space_group_IT_number 148
_space_group_name_Hall '-R 3'
_cell_length_a 8.8668
_cell_length_b 8.8668
_cell_length_c 21.3757
_cell_angle_alpha 90.00
_cell_angle_beta 90.00
_cell_angle_gamma 120.00
loop_
_atom_site_label
_atom_site_fract_x
_atom_site_fract_y
_atom_site_fract_z
Tb1 0.0000 0.0000 0.0810
Tb2 0.0626 0.8078 0.6333
Y1 0.0000 0.0000 0.5000
Th1 0.0252 0.2423 0.2097
```

Record 7
VASP calculation (PBE) on an optimized crystal structure of K3PmSc2Te6.

CIF file:
```
data_K3PmSc2Te6
_chemical_formula_sum 'K6 Pm2 Sc4 Te12'
_space_group_name_H-M_alt 'C 1 2/m 1'
_space_group_IT_number 12
_space_group_name_Hall '-C 2y'
_cell_length_a 7.632
_cell_length_b 13.222
_cell_length_c 8.604
_cell_angle_alpha 90.00
_cell_angle_beta 107.27
_cell_angle_gamma 90.00
loop_
_atom_site_label
_atom_site_fract_x
_atom_site_fract_y
_atom_site_fract_z
K1 0.000 0.000 0.000
K2 0.000 0.338 0.000
Pm1 0.000 0.500 0.500
Sc1 0.000 0.167 0.500
Te1 0.217 0.000 0.702
Te2 0.243 0.325 0.703
```

Record 8
VASP calculation (PBE) on an optimized crystal structure of TiBeNiS2.

CIF file:
```
data_TiBeNiS2
_chemical_formula_sum 'Ti1 Be1 Ni1 S2'
_space_group_name_H-M_alt 'P 4/m m m'
_space_group_IT_number 123
_space_group_name_Hall '-P 4 2'
_cell_length_a 4.313
_cell_length_b 4.313
_cell_length_c 4.579
_cell_angle_alpha 90.00
_cell_angle_beta 90.00
_cell_angle_gamma 90.00
loop_
_atom_site_label
_atom_site_fract_x
_atom_site_fract_y
_atom_site_fract_z
Ti1 0.000 0.000 0.000
Be1 0.500 0.500 0.000
Ni1 0.000 0.000 0.500
S1 0.000 0.500 0.500
```

Listing E_tot for the structures above in their given order: -68.55; -160.41; -164.77; -437.88; -54.29; -256.94; -110.31; -22.70 eV for the cell shown.
Listing magnetic moment for the structures above in their given order: 0.000; 0.000; 0.000; 0.073; 0.000; 0.000; 0.000; 0.000 μB/atom.